Computed, not measured: a geometry-optimized H2AuBr4 structure at the PBE level of DFT.

Summary:
N(E_F)	3.33	states/eV/f.u.
DFT total energy	-2.47	eV/atom
V	36.18	A^3/atom

Structure (CIF):
```
data_H2AuBr4
_cell_length_a 5.149
_cell_length_b 5.173
_cell_length_c 9.993
_cell_angle_alpha 75.50
_cell_angle_beta 80.11
_cell_angle_gamma 83.86
_symmetry_space_group_name_H-M 'P -1'
_symmetry_Int_Tables_number 2
loop_
_symmetry_equiv_pos_as_xyz
'x,y,z'
'-x,-y,-z'
loop_
_atom_site_label
_atom_site_type_symbol
_atom_site_fract_x
_atom_site_fract_y
_atom_site_fract_z
H1 H 0.211 0.155 0.285
Au1 Au 0.000 0.000 0.000
Br1 Br 0.077 0.125 0.751
Br2 Br 0.393 0.336 0.307
```


Computed, not measured: a geometry-optimized HAuBr2 structure at the PBE level of DFT.

Summary:
N(E_F)	4.78	states/eV/f.u.
V	20.30	A^3/atom
energy above the most stable polymorph in this dataset	2.18	eV/f.u.

Structure (CIF):
```
data_HAuBr2
_cell_length_a 6.874
_cell_length_b 6.874
_cell_length_c 6.874
_cell_angle_alpha 90.00
_cell_angle_beta 90.00
_cell_angle_gamma 90.00
_symmetry_space_group_name_H-M 'F m -3 m'
_symmetry_Int_Tables_number 225
_symmetry_space_group_name_Hall '-F 4 2 3'
loop_
_atom_site_label
_atom_site_type_symbol
_atom_site_fract_x
_atom_site_fract_y
_atom_site_fract_z
H1 H 0.000 0.000 0.000
Au1 Au 0.000 0.000 0.500
Br1 Br 0.250 0.250 0.250
```


Computed, not measured: a geometry-optimized H3AuBr structure at the PBE level of DFT.

Summary:
N(E_F)	2.62	states/eV/f.u.
V	11.24	A^3/atom
energy above the most stable polymorph in this dataset	0.00	eV/f.u.

Structure (CIF):
```
data_H3AuBr
_cell_length_a 3.831
_cell_length_b 3.831
_cell_length_c 3.831
_cell_angle_alpha 90.00
_cell_angle_beta 90.00
_cell_angle_gamma 90.00
_symmetry_space_group_name_H-M 'P m -3 m'
_symmetry_Int_Tables_number 221
_symmetry_space_group_name_Hall '-P 4 2 3'
loop_
_atom_site_label
_atom_site_type_symbol
_atom_site_fract_x
_atom_site_fract_y
_atom_site_fract_z
H1 H 0.000 0.000 0.500
Au1 Au 0.000 0.000 0.000
Br1 Br 0.500 0.500 0.500
```


Computed, not measured: a geometry-optimized H12AuBr6 structure at the PBE level of DFT.

Summary:
N(E_F)	6.77	states/eV/f.u.
DFT total energy	-2.72	eV/atom
V	25.77	A^3/atom

Structure (CIF):
```
data_H12AuBr6
_cell_length_a 11.4648
_cell_length_b 11.4648
_cell_length_c 12.9040
_cell_angle_alpha 90.00
_cell_angle_beta 90.00
_cell_angle_gamma 120.00
_symmetry_space_group_name_H-M 'R -3'
_symmetry_Int_Tables_number 148
_symmetry_space_group_name_Hall '-R 3'
loop_
_atom_site_label
_atom_site_type_symbol
_atom_site_fract_x
_atom_site_fract_y
_atom_site_fract_z
H1 H 0.0285 0.9086 0.4163
H2 H 0.0647 0.4876 0.6489
Au1 Au 0.0000 0.0000 0.5000
Br1 Br 0.0213 0.7426 0.0830
```


Computed, not measured: a geometry-optimized Hg2HAuBr structure at the PBE level of DFT.

Summary:
N(E_F)	1.77	states/eV/f.u.
DFT total energy	-1.76	eV/atom
V	22.48	A^3/atom

Structure (CIF):
```
data_Hg2HAuBr
_cell_length_a 5.563
_cell_length_b 5.563
_cell_length_c 3.633
_cell_angle_alpha 90.00
_cell_angle_beta 90.00
_cell_angle_gamma 90.00
_symmetry_space_group_name_H-M 'P 4/m m m'
_symmetry_Int_Tables_number 123
_symmetry_space_group_name_Hall '-P 4 2'
loop_
_atom_site_label
_atom_site_type_symbol
_atom_site_fract_x
_atom_site_fract_y
_atom_site_fract_z
Hg1 Hg 0.000 0.500 0.000
H1 H 0.000 0.000 0.500
Au1 Au 0.000 0.000 0.000
Br1 Br 0.500 0.500 0.500
```


Computed, not measured: a geometry-optimized HgHAu2Br structure at the PBE level of DFT.

Summary:
N(E_F)	1.11	states/eV/f.u.
DFT total energy	-2.21	eV/atom
V	20.71	A^3/atom

Structure (CIF):
```
data_HgHAu2Br
_cell_length_a 3.981
_cell_length_b 3.981
_cell_length_c 6.533
_cell_angle_alpha 90.00
_cell_angle_beta 90.00
_cell_angle_gamma 90.00
_symmetry_space_group_name_H-M 'P 4/m m m'
_symmetry_Int_Tables_number 123
_symmetry_space_group_name_Hall '-P 4 2'
loop_
_atom_site_label
_atom_site_type_symbol
_atom_site_fract_x
_atom_site_fract_y
_atom_site_fract_z
Hg1 Hg 0.000 0.000 0.000
H1 H 0.500 0.500 0.500
Au1 Au 0.000 0.500 0.500
Br1 Br 0.500 0.500 0.000
```


Computed, not measured: a geometry-optimized HAuIBr2 structure at the PBE level of DFT.

Summary:
N(E_F)	1.67	states/eV/f.u.
DFT total energy	-1.72	eV/atom
V	27.30	A^3/atom

Structure (CIF):
```
data_HAuIBr2
_cell_length_a 6.013
_cell_length_b 6.013
_cell_length_c 3.776
_cell_angle_alpha 90.00
_cell_angle_beta 90.00
_cell_angle_gamma 90.00
_symmetry_space_group_name_H-M 'P 4/m m m'
_symmetry_Int_Tables_number 123
_symmetry_space_group_name_Hall '-P 4 2'
loop_
_atom_site_label
_atom_site_type_symbol
_atom_site_fract_x
_atom_site_fract_y
_atom_site_fract_z
H1 H 0.000 0.000 0.000
Au1 Au 0.500 0.500 0.000
I1 I 0.000 0.000 0.500
Br1 Br 0.000 0.500 0.500
```


Computed, not measured: a geometry-optimized In2HAuBr structure at the PBE level of DFT.

Summary:
N(E_F)	1.56	states/eV/f.u.
DFT total energy	-2.97	eV/atom
V	23.12	A^3/atom

Structure (CIF):
```
data_In2HAuBr
_cell_length_a 5.643
_cell_length_b 5.643
_cell_length_c 3.630
_cell_angle_alpha 90.00
_cell_angle_beta 90.00
_cell_angle_gamma 90.00
_symmetry_space_group_name_H-M 'P 4/m m m'
_symmetry_Int_Tables_number 123
_symmetry_space_group_name_Hall '-P 4 2'
loop_
_atom_site_label
_atom_site_type_symbol
_atom_site_fract_x
_atom_site_fract_y
_atom_site_fract_z
In1 In 0.000 0.500 0.000
H1 H 0.000 0.000 0.500
Au1 Au 0.000 0.000 0.000
Br1 Br 0.500 0.500 0.500
```


Among the records above, which one has the lowest N(E_F)? HgHAu2Br


Which of these has the lowest V? H3AuBr


Which of these has the highest V? H2AuBr4


What is the V in the sixth record? 20.71 A^3/atom